VASP calculation (PBE) on crystalline CePrRu at its relaxed geometry.

Cell lengths 5.0761, 4.3354, 4.3354 Å; angles 120.00, 90.00, 90.00 degrees
Closest atoms and distances in Å follow each position.
Element x y z (fractional)
Pr 0.6664 0.3333 0.6667  6 Ru 3.56-3.57, 6 Ce 3.56
Ru 0.1672 0.6667 0.3333  3 Ce 2.50
Ce 0.1663 0.0000 0.0000  3 Ru 2.50

Computed properties:
The energy above the most stable polymorph in this dataset is 96 meV per atom. For the energy of formation, the calculation gives -0.15 eV per atom. As for the crystal system: hexagonal. The space group is No. 187. As for the density of states at the Fermi level: 3.228 states/eV per cell.

***

VASP calculation (PBE) on crystalline CePrRu at its relaxed geometry.

Cell lengths 3.5697, 3.5697, 6.2110 Å; angles 106.70, 106.70, 90.00 degrees
Closest atoms and distances in Å follow each position.
Element x y z (fractional)
Pr 0.0081 0.0081 0.0162  5 Ru 3.27-3.60, 5 Ce 3.33-3.45, 4 Pr 3.57
Ru 0.6908 0.6908 0.3816  4 Ce 2.82
Ce 0.3011 0.3011 0.6022  4 Ru 2.82

Computed properties:
The energy above the most stable polymorph in this dataset is 101 meV per atom. For the energy of formation, the calculation gives -0.14 eV per atom. As for the crystal system: tetragonal. The space group is No. 107. As for the density of states at the Fermi level: 4.292 states/eV per cell.

***

VASP calculation (PBE) on crystalline CePr3Ru2 at its relaxed geometry.

Cell lengths 4.2439, 8.5352, 10.6892 Å; angles 72.44, 78.55, 75.60 degrees
Closest atoms and distances in Å follow each position.
Element x y z (fractional)
Ce 0.4407 0.4499 0.6687  3 Ru 2.46-2.67
Ru 0.8671 0.4402 0.8256  2 Ce 2.67, 4 Pr 2.91-2.99
Pr 0.9434 0.9046 0.2087  3 Ru 2.96-2.97
Ru 0.6080 0.1950 0.5890  1 Ce 2.46
Pr 0.6669 0.6929 0.9734  3 Ru 2.91-2.99
Pr 0.3331 0.3071 0.0266  3 Ru 2.91-2.99
Ru 0.1329 0.5598 0.1744  2 Ce 2.67, 4 Pr 2.91-2.99
Ce 0.5593 0.5501 0.3313  3 Ru 2.46-2.67
Pr 0.2082 0.1810 0.4025  3 Ru 2.91-3.09
Pr 0.0566 0.0954 0.7913  3 Ru 2.96-2.97
Pr 0.7918 0.8190 0.5975  3 Ru 2.91-3.09
Ru 0.3920 0.8050 0.4110  1 Ce 2.46

Computed properties:
For the energy of formation, the calculation gives -0.18 eV per atom. As for the crystal system: monoclinic. The space group is No. 12. As for the density of states at the Fermi level: 11.316 states/eV per cell.

***

VASP calculation (PBE) on crystalline CePrRu2 at its relaxed geometry.

Cell lengths 6.8486, 5.9331, 8.9485 Å; angles 90.00, 82.90, 90.00 degrees
Closest atoms and distances in Å follow each position.
Element x y z (fractional)
Ru 0.4981 0.7033 0.1538  1 Ce 2.47
Pr 0.1835 0.3455 0.1233  6 Ru 2.96-3.11
Ru 0.0803 0.8592 0.6078  1 Ce 2.36
Ce 0.6971 0.1501 0.6156  2 Ru 2.36-2.47
Pr 0.3165 0.8455 0.8767  6 Ru 2.96-3.11
Ce 0.1971 0.3499 0.6156  2 Ru 2.36-2.47
Ru 0.5803 0.6408 0.6078  1 Ce 2.36
Ru 0.5019 0.2967 0.8462  1 Ce 2.47
Ce 0.3029 0.8499 0.3844  2 Ru 2.36-2.47
Ru 0.4197 0.3592 0.3922  1 Ce 2.36
Pr 0.8165 0.6545 0.8767  6 Ru 2.96-3.11
Ru 0.9981 0.7967 0.1538  1 Ce 2.47
Ru 0.9197 0.1408 0.3922  1 Ce 2.36
Pr 0.6835 0.1545 0.1233  6 Ru 2.96-3.11
Ru 0.0019 0.2033 0.8462  1 Ce 2.47
Ce 0.8029 0.6501 0.3844  2 Ru 2.36-2.47

Computed properties:
For the energy of formation, the calculation gives -0.22 eV per atom. As for the crystal system: monoclinic. The space group is No. 14. As for the density of states at the Fermi level: 12.278 states/eV per cell.